No. 1
Material: Ta2CdOs
Method: DFT, PBE-GGA
State: relaxed

abc: 4.074 2.984 6.289
angles: 67.07 90.00 90.00
Fractional positions:
1 Ta 0.000 0.521 0.525
2 Cd 0.500 0.250 0.250
3 Ta 0.000 0.979 0.975
4 Os 0.500 0.750 0.750

Computed properties:
* energy of formation from the pure elements: 0.11 eV per atom
* D(E_F): 3.1 states/eV per cell

No. 2
Material: SmBiPtRh
Method: DFT, PBE-GGA
State: relaxed

abc: 4.932 4.932 4.932
angles: 60.00 60.00 60.00
Fractional positions:
1 Pt 0.000 0.000 0.000
2 Bi 0.250 0.250 0.250
3 Rh 0.500 0.500 0.500
4 Sm 0.750 0.750 0.750

Computed properties:
* energy of formation from the pure elements: -0.57 eV per atom
* D(E_F): 2.0 states/eV per cell

No. 3
Material: Tb4YAg
Method: DFT, PBE-GGA
State: relaxed

abc: 3.565 3.565 13.986
angles: 90.00 90.00 90.00
Fractional positions:
1 Ag 0.500 0.500 0.500
2 Y 0.000 0.000 0.000
3 Tb 0.000 0.000 0.362
4 Tb 0.500 0.500 0.180
5 Tb 0.500 0.500 0.820
6 Tb 0.000 0.000 0.638

Computed properties:
* energy of formation from the pure elements: -0.08 eV per atom
* D(E_F): 7.5 states/eV per cell
* excess energy over the best structure of this formula in the dataset: 0.00 eV per formula unit

No. 4
Material: Sr4AgP
Method: DFT, PBE-GGA
State: relaxed

abc: 6.906 6.906 6.906
angles: 60.00 60.00 60.00
Fractional positions:
1 P 0.000 0.000 0.000
2 Ag 0.750 0.750 0.750
3 Sr 0.878 0.374 0.374
4 Sr 0.374 0.878 0.374
5 Sr 0.374 0.374 0.374
6 Sr 0.374 0.374 0.878

Computed properties:
* energy of formation from the pure elements: 0.55 eV per atom
* D(E_F): 7.5 states/eV per cell
* excess energy over the best structure of this formula in the dataset: 6.00 eV per formula unit

No. 5
Material: Pr5NdAg
Method: DFT, PBE-GGA
State: relaxed

abc: 6.861 6.861 12.333
angles: 74.87 74.87 59.06
Fractional positions:
1 Pr 0.718 0.592 0.448
2 Pr 0.297 0.168 0.338
3 Pr 0.168 0.297 0.838
4 Pr 0.278 0.722 0.250
5 Pr 0.282 0.408 0.552
6 Pr 0.722 0.278 0.750
7 Ag 0.000 0.000 0.500
8 Pr 0.832 0.703 0.162
9 Pr 0.703 0.832 0.662
10 Pr 0.408 0.282 0.052
11 Nd 0.802 0.198 0.250
12 Pr 0.592 0.718 0.948
13 Ag 0.000 0.000 0.000
14 Nd 0.198 0.802 0.750

Computed properties:
* energy of formation from the pure elements: 0.10 eV per atom
* D(E_F): 18.7 states/eV per cell

No. 6
Material: AcLuPuIn
Method: DFT, PBE-GGA
State: relaxed

abc: 5.543 5.543 5.543
angles: 60.00 60.00 60.00
Fractional positions:
1 In 0.250 0.250 0.250
2 Pu 0.000 0.000 0.000
3 Lu 0.500 0.500 0.500
4 Ac 0.750 0.750 0.750

Computed properties:
* energy of formation from the pure elements: 0.10 eV per atom
* D(E_F): 12.0 states/eV per cell

No. 7
Material: CoNiGe2
Method: DFT, PBE-GGA
State: relaxed

abc: 3.767 3.767 5.069
angles: 68.19 68.19 60.00
Fractional positions:
1 Ge 0.073 0.073 0.782
2 Co 0.677 0.677 0.968
3 Ge 0.261 0.261 0.216
4 Ni 0.488 0.488 0.535

Computed properties:
* energy of formation from the pure elements: -0.07 eV per atom
* D(E_F): 2.9 states/eV per cell

No. 8
Material: Hf6GaRe
Method: DFT, PBE-GGA
State: relaxed

abc: 6.065 6.090 6.869
angles: 63.80 64.02 59.90
Fractional positions:
1 Hf 0.252 0.958 0.239
2 Ga 0.500 0.500 0.500
3 Hf 0.446 0.748 0.761
4 Hf 0.554 0.252 0.239
5 Hf 0.748 0.042 0.761
6 Re 0.000 0.000 0.000
7 Hf 0.955 0.555 0.239
8 Hf 0.045 0.445 0.761

Computed properties:
* energy of formation from the pure elements: 0.36 eV per atom
* D(E_F): 6.7 states/eV per cell

No. 9
Material: La3Cu2Sn2
Method: DFT, PBE-GGA
State: relaxed

abc: 4.568 4.436 10.094
angles: 102.69 103.08 90.00
Fractional positions:
1 Cu 0.437 0.437 0.873
2 Cu 0.563 0.563 0.127
3 La 0.319 0.819 0.637
4 Sn 0.139 0.639 0.279
5 Sn 0.861 0.361 0.721
6 La 0.681 0.181 0.363
7 La 0.000 0.000 0.000

Computed properties:
* energy of formation from the pure elements: -0.54 eV per atom
* D(E_F): 5.6 states/eV per cell

No. 10
Material: LiCo3Ni12
Method: DFT, PBE-GGA
State: relaxed

abc: 3.517 3.517 14.096
angles: 90.00 90.00 90.00
Fractional positions:
1 Ni 0.500 0.500 0.750
2 Co 0.000 0.000 0.751
3 Ni 0.500 0.500 0.000
4 Ni 0.500 0.000 0.873
5 Ni 0.500 0.000 0.374
6 Ni 0.000 0.500 0.374
7 Li 0.000 0.000 0.000
8 Ni 0.000 0.500 0.127
9 Co 0.000 0.000 0.500
10 Ni 0.500 0.500 0.250
11 Ni 0.500 0.500 0.500
12 Ni 0.000 0.500 0.873
13 Ni 0.500 0.000 0.127
14 Ni 0.500 0.000 0.626
15 Co 0.000 0.000 0.249
16 Ni 0.000 0.500 0.626

Computed properties:
* energy of formation from the pure elements: 0.04 eV per atom
* D(E_F): 22.2 states/eV per cell

No. 11
Material: CsNbAs2Se
Method: DFT, PBE-GGA
State: relaxed

abc: 5.523 5.523 5.312
angles: 90.00 90.00 90.00
Fractional positions:
1 As 0.000 0.500 0.000
2 As 0.500 0.000 0.000
3 Nb 0.500 0.500 0.500
4 Cs 0.000 0.000 0.000
5 Se 0.000 0.000 0.500

Computed properties:
* formation energy without anion corrections: 10.9 eV per formula unit
* D(E_F): 8.9 states/eV per cell
* excess energy over the best structure of this formula in the dataset: 12.45 eV per formula unit

No. 12
Material: Pr12YSc3
Method: DFT, PBE-GGA
State: relaxed

abc: 5.114 5.114 20.460
angles: 90.00 90.00 90.00
Fractional positions:
1 Pr 0.500 0.000 0.871
2 Pr 0.500 0.500 0.253
3 Pr 0.500 0.000 0.129
4 Pr 0.500 0.500 0.000
5 Pr 0.500 0.000 0.624
6 Sc 0.000 0.000 0.252
7 Sc 0.000 0.000 0.500
8 Pr 0.500 0.000 0.376
9 Y 0.000 0.000 0.000
10 Pr 0.500 0.500 0.500
11 Pr 0.000 0.500 0.129
12 Pr 0.000 0.500 0.376
13 Pr 0.000 0.500 0.624
14 Pr 0.000 0.500 0.871
15 Sc 0.000 0.000 0.748
16 Pr 0.500 0.500 0.747

Computed properties:
* energy of formation from the pure elements: 0.03 eV per atom
* D(E_F): 21.0 states/eV per cell

No. 13
Material: LaSc2Se
Method: DFT, PBE-GGA
State: relaxed

abc: 3.576 5.363 5.136
angles: 90.00 90.00 90.00
Fractional positions:
1 Sc 0.500 0.500 0.000
2 Se 0.500 0.000 0.500
3 Sc 0.000 0.000 0.000
4 La 0.000 0.500 0.500

Computed properties:
* formation energy without anion corrections: -1.9 eV per formula unit
* D(E_F): 5.9 states/eV per cell

No. 14
Material: ScTaMo2
Method: DFT, PBE-GGA
State: relaxed

abc: 3.182 3.182 7.078
angles: 90.00 90.00 90.00
Fractional positions:
1 Mo 0.500 0.500 0.219
2 Sc 0.000 0.000 0.489
3 Ta 0.500 0.500 0.779
4 Mo 0.000 0.000 0.013

Computed properties:
* energy of formation from the pure elements: 0.07 eV per atom
* D(E_F): 4.5 states/eV per cell
* excess energy over the best structure of this formula in the dataset: 0.23 eV per formula unit

No. 15
Material: Si3Pt
Method: DFT, PBE-GGA
State: relaxed

abc: 5.348 5.348 9.817
angles: 90.00 90.00 120.00
Fractional positions:
1 Si 0.500 0.500 0.000
2 Si 0.500 0.500 0.500
3 Si 0.000 0.500 0.000
4 Pt 0.000 0.000 0.000
5 Pt 0.667 0.333 0.750
6 Si 0.000 0.500 0.500
7 Si 0.166 0.834 0.750
8 Si 0.834 0.668 0.250
9 Si 0.166 0.332 0.750
10 Pt 0.333 0.667 0.250
11 Si 0.500 0.000 0.500
12 Si 0.668 0.834 0.750
13 Pt 0.000 0.000 0.500
14 Si 0.332 0.166 0.250
15 Si 0.500 0.000 0.000
16 Si 0.834 0.166 0.250

Computed properties:
* formation energy without anion corrections: 0.9 eV per formula unit
* D(E_F): 5.6 states/eV per cell

No. 16
Material: RbAcH2
Method: DFT, PBE-GGA
State: relaxed

abc: 4.129 4.129 7.801
angles: 74.65 74.65 60.00
Fractional positions:
1 H 0.207 0.207 0.378
2 Rb 0.000 0.000 0.000
3 H 0.793 0.793 0.622
4 Ac 0.500 0.500 0.500

Computed properties:
* D(E_F): 1.1 states/eV per cell
* excess energy over the best structure of this formula in the dataset: 0.00 eV per formula unit

No. 17
Material: Gd3CdC
Method: DFT, PBE-GGA
State: relaxed

abc: 4.992 4.992 4.992
angles: 90.00 90.00 90.00
Fractional positions:
1 Cd 0.500 0.500 0.500
2 Gd 0.000 0.500 0.000
3 C 0.000 0.000 0.000
4 Gd 0.500 0.000 0.000
5 Gd 0.000 0.000 0.500

Computed properties:
* energy of formation from the pure elements: -0.30 eV per atom
* D(E_F): 3.3 states/eV per cell

No. 18
Material: Tm3ScCu2
Method: DFT, PBE-GGA
State: relaxed

abc: 3.533 8.439 9.341
angles: 90.00 90.00 90.00
Fractional positions:
1 Sc 0.500 0.505 0.572
2 Tm 0.000 0.832 0.711
3 Cu 0.000 0.720 0.436
4 Tm 0.000 0.995 0.080
5 Sc 0.500 0.005 0.428
6 Cu 0.000 0.220 0.564
7 Cu 0.500 0.778 0.931
8 Cu 0.500 0.278 0.069
9 Tm 0.500 0.170 0.781
10 Tm 0.000 0.332 0.289
11 Tm 0.500 0.670 0.219
12 Tm 0.000 0.495 0.920

Computed properties:
* energy of formation from the pure elements: -0.13 eV per atom
* D(E_F): 13.3 states/eV per cell

No. 19
Material: Co2Ni2Hg
Method: DFT, PBE-GGA
State: relaxed

abc: 3.419 3.419 6.353
angles: 74.39 74.39 90.00
Fractional positions:
1 Ni 0.395 0.395 0.210
2 Hg 0.000 0.000 0.000
3 Ni 0.605 0.605 0.790
4 Co 0.250 0.750 0.500
5 Co 0.750 0.250 0.500

Computed properties:
* energy of formation from the pure elements: 0.35 eV per atom
* D(E_F): 4.1 states/eV per cell
* excess energy over the best structure of this formula in the dataset: 0.32 eV per formula unit

No. 20
Material: ErTlSn
Method: DFT, PBE-GGA
State: relaxed

abc: 4.584 4.584 8.427
angles: 105.78 105.78 90.00
Fractional positions:
1 Er 0.140 0.140 0.280
2 Sn 0.500 0.000 0.000
3 Er 0.860 0.860 0.720
4 Tl 0.662 0.662 0.323
5 Sn 0.000 0.500 0.000
6 Tl 0.338 0.338 0.677

Computed properties:
* energy of formation from the pure elements: -0.31 eV per atom
* D(E_F): 2.5 states/eV per cell
* excess energy over the best structure of this formula in the dataset: 0.00 eV per formula unit